! AcTbTmSc | Alexandria via LeMat-Bulk | GGA-PBE | relaxed; values from VASP
&SYSTEM
  ibrav = 0, nat = 4, ntyp = 4
/
ATOMIC_SPECIES
Sc 44.96 Sc.upf
Ac 227.00 Ac.upf
Tm 168.93 Tm.upf
Tb 158.93 Tb.upf
CELL_PARAMETERS angstrom
5.6893 0.0000 0.0000
2.8447 4.9271 0.0000
2.8447 1.6424 4.6453
ATOMIC_POSITIONS angstrom
Sc 5.6893 3.2847 2.3226
Ac 8.5340 4.9271 3.4840
Tm 0.0000 0.0000 0.0000
Tb 2.8447 1.6424 1.1613
! space-group type	F-43m
! raw total energy	-19.09	eV per cell
! formation enthalpy at 0 K	2.63	kcal/mol of atoms
! total magnetic moment	0.00	μB per atom

! Er4Te5O | Alexandria via LeMat-Bulk | GGA-PBE | relaxed; values from VASP
&SYSTEM
  ibrav = 0, nat = 10, ntyp = 3
/
ATOMIC_SPECIES
Er 167.26 Er.upf
Te 127.60 Te.upf
O 16.00 O.upf
CELL_PARAMETERS angstrom
4.4096 0.0000 0.0000
0.0000 10.9446 -0.3581
-2.2048 -2.1476 7.9810
ATOMIC_POSITIONS angstrom
Er 0.0000 8.6724 5.6124
Er 2.2048 5.4012 7.6861
Er 2.2048 0.1246 2.0105
Er 0.0000 3.3958 -0.0632
Te 2.2048 6.5531 5.0846
Te 2.2048 -0.1184 5.4037
Te 0.0000 8.9154 2.2192
Te 2.2048 5.4723 -0.1791
Te 0.0000 2.2439 2.5383
O 2.2048 0.0000 0.0000
! space-group type	C2/m
! formation energy from raw total energies	-1467	meV per atom
! raw total energy	-53.59	eV per cell
! total magnetic moment	0.00	μB per atom

! Cr5P2 | Alexandria via LeMat-Bulk | GGA-PBE | relaxed; values from VASP
&SYSTEM
  ibrav = 0, nat = 14, ntyp = 2
/
ATOMIC_SPECIES
Cr 52.00 Cr.upf
P 30.97 P.upf
CELL_PARAMETERS angstrom
-3.8766 -1.9694 2.0393
0.6686 -4.7307 -3.2976
5.3871 -0.9500 3.6678
ATOMIC_POSITIONS angstrom
Cr 0.4625 -2.7417 -0.2982
Cr 4.2510 -1.0857 2.8474
Cr 2.8042 -4.1540 0.0864
Cr 0.5540 -5.4322 0.2298
Cr -0.6252 -3.4961 2.3231
Cr 1.6250 -2.2179 2.1797
Cr -2.0719 -6.5644 -0.4379
Cr 1.7166 -4.9084 2.7077
Cr -2.2350 -2.4030 0.4393
Cr -0.9730 -4.2971 -1.6975
P 3.6969 -3.1202 1.9138
P -0.4123 -1.4331 1.3870
P -1.5179 -4.5299 0.4957
P 2.5914 -6.2170 1.0225
! space-group type	C2/c
! raw total energy	-121.13	eV per cell
! formation enthalpy at 0 K	-5.36	kcal/mol of atoms
! total magnetic moment	0.25	μB per atom

! Np4TlO12 | Alexandria via LeMat-Bulk | GGA-PBE | relaxed; values from VASP
&SYSTEM
  ibrav = 0, nat = 17, ntyp = 3
/
ATOMIC_SPECIES
Np 237.00 Np.upf
Tl 204.38 Tl.upf
O 16.00 O.upf
CELL_PARAMETERS angstrom
6.8262 -0.0207 -2.4372
-3.4127 5.9180 -2.4223
0.0228 0.0207 7.2482
ATOMIC_POSITIONS angstrom
Np 3.4131 -0.0104 -1.2186
Np -1.7064 2.9590 -1.2111
Np 0.0114 0.0104 3.6241
Np 1.7181 2.9590 1.1944
Tl -1.6950 2.9694 2.4130
O -0.8206 4.4417 4.8133
O -2.5378 4.4428 0.0077
O 0.8536 4.4428 2.3899
O -1.6989 5.9141 2.4179
O 3.4389 2.9755 2.3856
O 0.8600 1.4976 2.4209
O 2.5762 4.4205 -0.0321
O 5.1352 0.0039 -0.0292
O -0.0027 2.9425 0.0032
O 2.5826 1.4752 -0.0012
O 5.9740 1.4752 2.3811
O 4.2568 1.4763 -2.4246
! space-group type	Im-3
! formation energy from raw total energies	-2595	meV per atom
! raw total energy	-157.74	eV per cell
! total magnetic moment	0.29	μB per atom

! Na2La2Ru | Alexandria via LeMat-Bulk | GGA-PBE | relaxed; values from VASP
&SYSTEM
  ibrav = 0, nat = 10, ntyp = 3
/
ATOMIC_SPECIES
Ru 101.07 Ru.upf
Na 22.99 Na.upf
La 138.91 La.upf
CELL_PARAMETERS angstrom
7.3161 0.0000 0.0000
0.0000 7.3161 0.0000
0.0000 0.0000 6.6374
ATOMIC_POSITIONS angstrom
Ru 0.0000 0.0000 0.0000
Ru 3.6580 3.6580 0.0000
Na 1.2190 4.8770 3.3187
Na 4.8770 6.0971 3.3187
Na 6.0971 2.4390 3.3187
Na 2.4390 1.2190 3.3187
La 2.2852 5.9433 0.0000
La 5.9433 5.0308 0.0000
La 5.0308 1.3728 0.0000
La 1.3728 2.2852 0.0000
! space-group type	P4/mbm
! raw total energy	-41.73	eV per cell
! formation enthalpy at 0 K	4.17	kcal/mol of atoms
! total magnetic moment	0.00	μB per atom

! InSnAu | Alexandria via LeMat-Bulk | GGA-PBE | relaxed; values from VASP
&SYSTEM
  ibrav = 0, nat = 6, ntyp = 3
/
ATOMIC_SPECIES
Au 196.97 Au.upf
Sn 118.71 Sn.upf
In 114.82 In.upf
CELL_PARAMETERS angstrom
-2.4739 2.2500 1.8068
-5.8887 -3.4200 -3.8037
1.2538 -2.4550 4.7735
ATOMIC_POSITIONS angstrom
Au -0.3571 -0.6460 2.2121
Au -4.4354 -0.3351 0.2393
Sn -4.1826 -3.2093 0.1667
Sn -0.3814 -2.4783 4.4611
In -6.5126 -1.1492 -1.5912
In -3.1771 -0.9941 2.7837
! space-group type	Pm
! raw total energy	-20.81	eV per cell
! formation enthalpy at 0 K	-2.97	kcal/mol of atoms
! total magnetic moment	0.00	μB per atom

! RbHfMg2Sb | Alexandria via LeMat-Bulk | GGA-PBE | relaxed; values from VASP
&SYSTEM
  ibrav = 0, nat = 5, ntyp = 4
/
ATOMIC_SPECIES
Sb 121.76 Sb.upf
Mg 24.30 Mg.upf
Hf 178.49 Hf.upf
Rb 85.47 Rb.upf
CELL_PARAMETERS angstrom
-2.3864 5.1399 -0.1510
-1.0699 -0.3217 5.9584
5.0438 2.3722 1.0338
ATOMIC_POSITIONS angstrom
Sb 0.7938 3.5951 3.4206
Mg 2.5219 1.1861 0.5169
Mg -1.1932 2.5699 -0.0755
Hf 0.0000 0.0000 0.0000
Rb -0.5350 -0.1609 2.9792
! space-group type	P4/mmm
! formation energy from raw total energies	1235	meV per atom
! raw total energy	-12.06	eV per cell
! total magnetic moment	0.29	μB per atom

! BeReP | Alexandria via LeMat-Bulk | GGA-PBE | relaxed; values from VASP
&SYSTEM
  ibrav = 0, nat = 3, ntyp = 3
/
ATOMIC_SPECIES
Re 186.21 Re.upf
Be 9.01 Be.upf
P 30.97 P.upf
CELL_PARAMETERS angstrom
-2.4250 0.1763 2.9553
-3.7759 -0.1035 -0.6143
-2.0183 -3.0919 1.0062
ATOMIC_POSITIONS angstrom
Re 0.0000 0.0000 0.0000
Be -4.1096 -1.5096 1.6736
P -6.1644 -2.2643 2.5104
! space-group type	F-43m
! raw total energy	-21.42	eV per cell
! formation enthalpy at 0 K	1.29	kcal/mol of atoms
! energy above the most stable polymorph in this dataset	0.459	eV per atom
! total magnetic moment	0.00	μB per atom

! CaAsBr2N | Alexandria via LeMat-Bulk | GGA-PBE | relaxed; values from VASP
&SYSTEM
  ibrav = 0, nat = 5, ntyp = 4
/
ATOMIC_SPECIES
As 74.92 As.upf
Ca 40.08 Ca.upf
Br 79.90 Br.upf
N 14.01 N.upf
CELL_PARAMETERS angstrom
5.0567 0.0000 0.0000
0.0000 5.0567 0.0000
0.0000 0.0000 4.2799
ATOMIC_POSITIONS angstrom
As 0.0000 0.0000 2.1399
Ca 2.5283 2.5283 2.1399
Br 0.0000 2.5283 0.0000
Br 2.5283 0.0000 0.0000
N 0.0000 0.0000 0.0000
! space-group type	P4/mmm
! formation energy from raw total energies	216	meV per atom
! raw total energy	-17.24	eV per cell
! energy above the most stable polymorph in this dataset	0.000	eV per atom
! total magnetic moment	0.00	μB per atom

! Ca5Mg2N5 | Alexandria via LeMat-Bulk | GGA-PBE | relaxed; values from VASP
&SYSTEM
  ibrav = 0, nat = 12, ntyp = 3
/
ATOMIC_SPECIES
Ca 40.08 Ca.upf
Mg 24.30 Mg.upf
N 14.01 N.upf
CELL_PARAMETERS angstrom
-2.4972 2.3306 -0.1546
-1.7922 -4.1705 3.8922
5.4130 6.1422 5.1591
ATOMIC_POSITIONS angstrom
Ca 1.4579 4.2364 2.5022
Ca -1.9195 0.5359 1.2705
Ca -0.8194 1.8720 3.6439
Ca 1.9430 2.4303 5.2528
Ca 3.0430 3.7664 7.6262
Mg 4.0368 4.6126 4.3288
Mg -2.9133 -0.3103 4.5679
N 1.5290 1.8338 2.9475
N 2.0602 5.0669 5.2932
N -0.9366 -0.7646 3.6035
N -0.4054 2.4685 5.9492
N 0.0000 0.0000 0.0000
! space-group type	C2/m
! formation energy from raw total energies	-665	meV per atom
! raw total energy	-62.81	eV per cell
! total magnetic moment	0.00	μB per atom

! Nd3Sm2Y7 | Alexandria via LeMat-Bulk | GGA-PBE | relaxed; values from VASP
&SYSTEM
  ibrav = 0, nat = 12, ntyp = 3
/
ATOMIC_SPECIES
Nd 144.24 Nd.upf
Sm 150.36 Sm.upf
Y 88.91 Y.upf
CELL_PARAMETERS angstrom
3.6369 0.0000 -0.4754
0.0000 5.6659 0.0000
0.8541 0.0000 20.6897
ATOMIC_POSITIONS angstrom
Nd 1.8185 2.8330 -0.2377
Nd 3.5848 0.0000 13.2862
Nd 0.9062 0.0000 6.9281
Sm 1.9396 2.8330 14.8504
Sm 2.5514 2.8330 5.3638
Y 1.5227 2.8330 11.6546
Y 2.9683 2.8330 8.5597
Y 2.2220 0.0000 17.0092
Y 0.0000 0.0000 0.0000
Y 2.2690 0.0000 3.2051
Y 0.3586 2.8330 2.7402
Y 4.1324 2.8330 17.4740
! space-group type	P2/m
! raw total energy	-66.16	eV per cell
! formation enthalpy at 0 K	5.43	kcal/mol of atoms
! energy above the most stable polymorph in this dataset	0.154	eV per atom
! total magnetic moment	0.11	μB per atom

> What is the formula in the sixth record?

InSnAu

> The lowest raw total energy belongs to which entry?

Np4TlO12